FeNiW3 SCAN PBEsol geometry; DFT total energy = -46.9887 eV per atom; space-group type = Pm-3m, No. 221; ΔH_f (0 K) = 1685 meV/atom
1.0
4.361 0.000 0.000
0.000 4.361 0.000
0.000 0.000 4.361
W Fe Ni
3 1 1
Direct
0.000 0.000 0.500 W
0.000 0.500 0.000 W
0.500 0.000 0.000 W
0.000 0.000 0.000 Fe
0.500 0.500 0.500 Ni

=====

TcNiIr2 SCAN PBEsol geometry; DFT total energy = -48.5178 eV per atom; space-group type = Pmmm, No. 47; ΔH_f (0 K) = -160 meV/atom
1.0
2.681 0.000 0.000
0.000 3.707 0.000
0.000 0.000 5.298
Ir Tc Ni
2 1 1
Direct
0.000 0.000 0.245 Ir
0.000 0.000 0.755 Ir
0.500 0.500 0.500 Tc
0.500 0.500 0.000 Ni

=====

HgPbN2 SCAN PBEsol geometry; DFT total energy = -38.9056 eV per atom; space-group type = Fm-3m, No. 225; formation energy (no corrections) = 1727 meV/atom
1.0
4.389 0.000 0.000
2.195 3.801 0.000
2.195 1.267 3.584
N Hg Pb
2 1 1
Direct
0.250 0.250 0.250 N
0.750 0.750 0.750 N
0.000 0.000 0.000 Hg
0.500 0.500 0.500 Pb